DFT (PBE) results for a relaxed LiZn3Rh2 crystal.

Formation energy   -423 meV/atom
M_tot   0.0 μB/cell
N(E_F)   1.74 states/eV per cell
Uncorrected energy   -3.829 eV/atom

```
LiZn3Rh2
1.0
3.0626 0.0000 0.0000
0.0000 4.0015 -1.3247
0.0000 0.0278 6.7900
Li Rh Zn
1 2 3
direct
0.0000 0.0000 0.0000 Li
0.0000 0.3424 0.6849 Rh
0.0000 0.6576 0.3151 Rh
0.5000 0.1744 0.3489 Zn
0.5000 0.8256 0.6511 Zn
0.5000 0.5000 0.0000 Zn
```